## Cs12P3Au5 (GGA-PBE)

Data for a relaxed Cs12P3Au5 crystal.

```
data_Cs12P3Au5
_cell_length_a 18.134
_cell_length_b 18.134
_cell_length_c 18.134
_cell_angle_alpha 109.47
_cell_angle_beta 109.47
_cell_angle_gamma 109.47
_space_group_name_H-M_alt 'P 1'
_space_group_IT_number 1
_space_group_name_Hall 'P 1'
loop_
_atom_site_label
_atom_site_type_symbol
_atom_site_fract_x
_atom_site_fract_y
_atom_site_fract_z
Cs1 Cs 0.058 0.228 0.141
Cs2 Cs 0.058 0.330 0.917
Cs3 Cs 0.083 0.641 0.413
Cs4 Cs 0.083 0.942 0.670
Cs5 Cs 0.087 0.728 0.670
Cs6 Cs 0.087 0.859 0.417
Cs7 Cs 0.141 0.058 0.228
Cs8 Cs 0.141 0.583 0.913
Cs9 Cs 0.170 0.228 0.587
Cs10 Cs 0.170 0.442 0.583
Cs11 Cs 0.228 0.141 0.058
Cs12 Cs 0.228 0.587 0.170
Cs13 Cs 0.272 0.330 0.913
Cs14 Cs 0.272 0.442 0.359
Cs15 Cs 0.330 0.913 0.272
Cs16 Cs 0.330 0.917 0.058
Cs17 Cs 0.359 0.272 0.442
Cs18 Cs 0.359 0.587 0.917
Cs19 Cs 0.413 0.083 0.641
Cs20 Cs 0.413 0.830 0.772
Cs21 Cs 0.417 0.087 0.859
Cs22 Cs 0.417 0.830 0.558
Cs23 Cs 0.442 0.359 0.272
Cs24 Cs 0.442 0.583 0.170
Cs25 Cs 0.558 0.417 0.830
Cs26 Cs 0.558 0.641 0.728
Cs27 Cs 0.583 0.170 0.442
Cs28 Cs 0.583 0.913 0.141
Cs29 Cs 0.587 0.170 0.228
Cs30 Cs 0.587 0.917 0.359
Cs31 Cs 0.641 0.413 0.083
Cs32 Cs 0.641 0.728 0.558
Cs33 Cs 0.670 0.083 0.942
Cs34 Cs 0.670 0.087 0.728
Cs35 Cs 0.728 0.558 0.641
Cs36 Cs 0.728 0.670 0.087
Cs37 Cs 0.772 0.413 0.830
Cs38 Cs 0.772 0.859 0.942
Cs39 Cs 0.830 0.558 0.417
Cs40 Cs 0.830 0.772 0.413
Cs41 Cs 0.859 0.417 0.087
Cs42 Cs 0.859 0.942 0.772
Cs43 Cs 0.913 0.141 0.583
Cs44 Cs 0.913 0.272 0.330
Cs45 Cs 0.917 0.058 0.330
Cs46 Cs 0.917 0.359 0.587
Cs47 Cs 0.942 0.670 0.083
Cs48 Cs 0.942 0.772 0.859
P1 P 0.125 0.250 0.375
P2 P 0.125 0.375 0.750
P3 P 0.250 0.375 0.125
P4 P 0.250 0.875 0.625
P5 P 0.375 0.125 0.250
P6 P 0.375 0.750 0.125
P7 P 0.625 0.250 0.875
P8 P 0.625 0.875 0.750
P9 P 0.750 0.125 0.375
P10 P 0.750 0.625 0.875
P11 P 0.875 0.625 0.250
P12 P 0.875 0.750 0.625
Au1 Au 0.000 0.000 0.000
Au2 Au 0.000 0.000 0.500
Au3 Au 0.000 0.500 0.000
Au4 Au 0.000 0.500 0.500
Au5 Au 0.125 0.750 0.875
Au6 Au 0.125 0.875 0.250
Au7 Au 0.250 0.125 0.875
Au8 Au 0.250 0.625 0.375
Au9 Au 0.375 0.250 0.625
Au10 Au 0.375 0.625 0.750
Au11 Au 0.500 0.000 0.000
Au12 Au 0.500 0.000 0.500
Au13 Au 0.500 0.500 0.000
Au14 Au 0.500 0.500 0.500
Au15 Au 0.625 0.375 0.250
Au16 Au 0.625 0.750 0.375
Au17 Au 0.750 0.375 0.625
Au18 Au 0.750 0.875 0.125
Au19 Au 0.875 0.125 0.750
Au20 Au 0.875 0.250 0.125
```

Properties
Symmetry: No. 230
Energy relative to the elements: -14 kJ per mole of atoms



## Cs5P3Au3 (GGA-PBE)

Data for a relaxed Cs5P3Au3 crystal.

```
data_Cs5P3Au3
_cell_length_a 11.084
_cell_length_b 11.084
_cell_length_c 4.516
_cell_angle_alpha 90.00
_cell_angle_beta 90.00
_cell_angle_gamma 120.00
_space_group_name_H-M_alt 'P 1'
_space_group_IT_number 1
_space_group_name_Hall 'P 1'
loop_
_atom_site_label
_atom_site_type_symbol
_atom_site_fract_x
_atom_site_fract_y
_atom_site_fract_z
Cs1 Cs 0.000 0.738 0.000
Cs2 Cs 0.262 0.262 0.000
Cs3 Cs 0.333 0.667 0.000
Cs4 Cs 0.667 0.333 0.000
Cs5 Cs 0.738 0.000 0.000
P1 P 0.000 0.380 0.000
P2 P 0.380 0.000 0.000
P3 P 0.620 0.620 0.000
Au1 Au 0.000 0.326 0.500
Au2 Au 0.326 0.000 0.500
Au3 Au 0.674 0.674 0.500
```

Properties
Symmetry: No. 189
Energy relative to the elements: -35 kJ per mole of atoms



## CsP2Au (GGA-PBE)

Data for a relaxed CsP2Au crystal.

```
data_CsP2Au
_cell_length_a 6.747
_cell_length_b 5.700
_cell_length_c 7.440
_cell_angle_alpha 90.00
_cell_angle_beta 104.22
_cell_angle_gamma 90.00
_space_group_name_H-M_alt 'P 1'
_space_group_IT_number 1
_space_group_name_Hall 'P 1'
loop_
_atom_site_label
_atom_site_type_symbol
_atom_site_fract_x
_atom_site_fract_y
_atom_site_fract_z
Cs1 Cs 0.201 0.250 0.293
Cs2 Cs 0.799 0.750 0.707
P1 P 0.295 0.060 0.786
P2 P 0.295 0.440 0.786
P3 P 0.705 0.560 0.214
P4 P 0.705 0.940 0.214
Au1 Au 0.386 0.750 0.026
Au2 Au 0.614 0.250 0.974
```

Properties
Symmetry: No. 11
Energy relative to the elements: -13 kJ per mole of atoms



## CsP2Au (GGA-PBE)

Data for a relaxed CsP2Au crystal.

```
data_CsP2Au
_cell_length_a 5.092
_cell_length_b 5.092
_cell_length_c 5.092
_cell_angle_alpha 60.00
_cell_angle_beta 60.00
_cell_angle_gamma 60.00
_space_group_name_H-M_alt 'P 1'
_space_group_IT_number 1
_space_group_name_Hall 'P 1'
loop_
_atom_site_label
_atom_site_type_symbol
_atom_site_fract_x
_atom_site_fract_y
_atom_site_fract_z
Cs1 Cs 0.000 0.000 0.000
P1 P 0.250 0.250 0.250
P2 P 0.750 0.750 0.750
Au1 Au 0.500 0.500 0.500
```

Properties
Symmetry: No. 225
Energy relative to the elements: 87 kJ per mole of atoms



## Cs3P2Au (GGA-PBE)

Data for a relaxed Cs3P2Au crystal.

```
data_Cs3P2Au
_cell_length_a 6.866
_cell_length_b 6.866
_cell_length_c 9.482
_cell_angle_alpha 90.98
_cell_angle_beta 90.98
_cell_angle_gamma 104.59
_space_group_name_H-M_alt 'P 1'
_space_group_IT_number 1
_space_group_name_Hall 'P 1'
loop_
_atom_site_label
_atom_site_type_symbol
_atom_site_fract_x
_atom_site_fract_y
_atom_site_fract_z
Cs1 Cs 0.095 0.905 0.750
Cs2 Cs 0.253 0.428 0.576
Cs3 Cs 0.428 0.253 0.076
Cs4 Cs 0.572 0.747 0.924
Cs5 Cs 0.747 0.572 0.424
Cs6 Cs 0.905 0.095 0.250
P1 P 0.023 0.415 0.903
P2 P 0.415 0.023 0.403
P3 P 0.585 0.977 0.597
P4 P 0.977 0.585 0.097
Au1 Au 0.250 0.750 0.250
Au2 Au 0.750 0.250 0.750
```

Properties
Symmetry: No. 15
Energy relative to the elements: -37 kJ per mole of atoms



## Cs2P2Au7 (GGA-PBE)

Data for a relaxed Cs2P2Au7 crystal.

```
data_Cs2P2Au7
_cell_length_a 8.063
_cell_length_b 8.063
_cell_length_c 5.569
_cell_angle_alpha 96.34
_cell_angle_beta 96.34
_cell_angle_gamma 69.19
_space_group_name_H-M_alt 'P 1'
_space_group_IT_number 1
_space_group_name_Hall 'P 1'
loop_
_atom_site_label
_atom_site_type_symbol
_atom_site_fract_x
_atom_site_fract_y
_atom_site_fract_z
Cs1 Cs 0.234 0.766 0.000
Cs2 Cs 0.766 0.234 0.000
P1 P 0.320 0.320 0.484
P2 P 0.680 0.680 0.516
Au1 Au 0.053 0.471 0.254
Au2 Au 0.274 0.274 0.880
Au3 Au 0.471 0.053 0.254
Au4 Au 0.500 0.500 0.500
Au5 Au 0.529 0.947 0.746
Au6 Au 0.726 0.726 0.120
Au7 Au 0.947 0.529 0.746
```

Properties
Symmetry: No. 12
Energy relative to the elements: -22 kJ per mole of atoms



## Cs3PAu (GGA-PBE)

Data for a relaxed Cs3PAu crystal.

```
data_Cs3PAu
_cell_length_a 6.782
_cell_length_b 6.782
_cell_length_c 6.782
_cell_angle_alpha 90.00
_cell_angle_beta 90.00
_cell_angle_gamma 90.00
_space_group_name_H-M_alt 'P 1'
_space_group_IT_number 1
_space_group_name_Hall 'P 1'
loop_
_atom_site_label
_atom_site_type_symbol
_atom_site_fract_x
_atom_site_fract_y
_atom_site_fract_z
Cs1 Cs 0.000 0.000 0.500
Cs2 Cs 0.000 0.500 0.000
Cs3 Cs 0.500 0.000 0.000
P1 P 0.000 0.000 0.000
Au1 Au 0.500 0.500 0.500
```

Properties
Symmetry: No. 221
Energy relative to the elements: -4 kJ per mole of atoms



## Cs2PAu3 (GGA-PBE)

Data for a relaxed Cs2PAu3 crystal.

```
data_Cs2PAu3
_cell_length_a 9.594
_cell_length_b 8.936
_cell_length_c 7.247
_cell_angle_alpha 71.86
_cell_angle_beta 62.26
_cell_angle_gamma 45.88
_space_group_name_H-M_alt 'P 1'
_space_group_IT_number 1
_space_group_name_Hall 'P 1'
loop_
_atom_site_label
_atom_site_type_symbol
_atom_site_fract_x
_atom_site_fract_y
_atom_site_fract_z
Cs1 Cs 0.244 0.756 0.244
Cs2 Cs 0.250 0.250 0.250
Cs3 Cs 0.750 0.750 0.750
Cs4 Cs 0.756 0.244 0.756
P1 P 0.334 0.334 0.666
P2 P 0.666 0.666 0.334
Au1 Au 0.178 0.642 0.822
Au2 Au 0.179 0.179 0.821
Au3 Au 0.358 0.822 0.642
Au4 Au 0.642 0.178 0.358
Au5 Au 0.821 0.821 0.179
Au6 Au 0.822 0.358 0.178
```

Properties
Symmetry: No. 69
Energy relative to the elements: -24 kJ per mole of atoms